# 1
Na3SmHo3Te8: relaxed, PBE.

Cell: 8.7448 8.7491 9.1673 Å, 118.55 90.00 119.98°
Element x y z (fractional)
Na 0.0000 0.0000 0.0000
Na 0.0000 0.5000 0.0000
Na 0.5000 0.5000 0.0000
Sm 0.0000 0.0000 0.5000
Ho 0.5000 0.0000 0.5000
Ho 0.5000 0.5000 0.5000
Ho 0.0000 0.5000 0.5000
Te 0.2559 0.5118 0.2679
Te 0.7441 0.4882 0.7321
Te 0.7511 0.5021 0.2659
Te 0.2489 0.4979 0.7341
Te 0.7511 0.0146 0.2658
Te 0.2489 0.9854 0.7342
Te 0.2636 0.0146 0.2658
Te 0.7364 0.9854 0.7342

Summary:
Space-group type ... R-3m, No. 166
Magnetic moment ... 0.000 μB per cell
D(E_F) ... 0.387 states/eV/atom
Final energy ... -4.42 eV per atom
Mass density ... 5.69 g/cm3
Uncorrected formation energy ... -1.246 eV/atom



# 2
Na2SmHo3Te6: relaxed, PBE.

Cell: 7.6032 7.6032 7.7355 Å, 99.43 99.43 119.96°
Element x y z (fractional)
Na 0.3336 0.6664 0.0000
Na 0.6664 0.3336 0.0000
Sm 0.0000 0.0000 0.0000
Ho 0.1674 0.8326 0.5000
Ho 0.8326 0.1674 0.5000
Ho 0.5000 0.5000 0.5000
Te 0.9142 0.5810 0.7425
Te 0.7537 0.7537 0.2596
Te 0.0858 0.4190 0.2575
Te 0.5810 0.9142 0.7425
Te 0.2463 0.2463 0.7404
Te 0.4190 0.0858 0.2575

Summary:
Space-group type ... C2/m, No. 12
Magnetic moment ... 0.000 μB per cell
D(E_F) ... 0.298 states/eV/atom
Final energy ... -4.64 eV per atom
Mass density ... 6.61 g/cm3
Uncorrected formation energy ... -1.308 eV/atom



# 3
NaSm2HoTe4: relaxed, PBE.

Cell: 4.3945 7.6806 7.7007 Å, 108.91 90.00 90.00°
Element x y z (fractional)
Na 0.0000 0.0000 0.0000
Sm 0.5000 0.0000 0.5000
Sm 0.0000 0.5000 0.5000
Ho 0.5000 0.5000 0.0000
Te 0.5000 0.2519 0.2458
Te 0.5000 0.7481 0.7542
Te 0.0000 0.2540 0.7581
Te 0.0000 0.7460 0.2419

Summary:
Space-group type ... P2/m, No. 10
Magnetic moment ... 0.000 μB per cell
D(E_F) ... 0.407 states/eV/atom
Final energy ... -4.82 eV per atom
Mass density ... 6.75 g/cm3
Uncorrected formation energy ... -1.333 eV/atom